Cs2FeOsI6 | PBE | relaxed

**Energy relative to the elements, uncorrected**: -0.34 eV per atom
**V**: 36.66 A^3/atom

Cell lengths 8.068, 8.068, 11.266 Å; angles 90.00, 90.00, 90.00 degrees
Space group I4/mmm (No. 139)
Unique sites:
1 Cs 0.000 0.500 0.250 [4 per cell]
2 Fe 0.000 0.000 0.000 [2 per cell]
3 Os 0.000 0.000 0.500 [2 per cell]
4 I 0.000 0.000 0.254 [4 per cell]
5 I 0.243 0.243 0.500 [8 per cell]


Cs2FePbI6 | PBE | relaxed

**Energy relative to the elements, uncorrected**: -0.80 eV per atom
**V**: 44.33 A^3/atom

Cell lengths 12.103, 12.103, 12.103 Å; angles 90.00, 90.00, 90.00 degrees
Space group Fm-3m (No. 225)
Unique sites:
1 Cs 0.250 0.250 0.250 [8 per cell]
2 Fe 0.000 0.000 0.000 [4 per cell]
3 Pb 0.000 0.000 0.500 [4 per cell]
4 I 0.000 0.000 0.235 [24 per cell]


CsFe2PdI8 | PBE | relaxed

**Energy relative to the elements, uncorrected**: -0.39 eV per atom
**V**: 43.12 A^3/atom

Cell lengths 11.732, 8.118, 11.015 Å; angles 90.00, 99.41, 90.00 degrees
Space group C2/m (No. 12)
Unique sites:
1 Cs 0.000 0.000 0.000 [2 per cell]
2 Fe 0.112 0.500 0.295 [4 per cell]
3 Pd 0.000 0.000 0.500 [2 per cell]
4 I 0.021 0.251 0.691 [8 per cell]
5 I 0.181 0.500 0.087 [4 per cell]
6 I 0.235 0.000 0.509 [4 per cell]


CsPrFe2I8 | PBE | relaxed

**Energy relative to the elements, uncorrected**: -0.74 eV per atom
**V**: 49.17 A^3/atom

Cell lengths 12.380, 8.529, 11.265 Å; angles 90.00, 97.17, 90.00 degrees
Space group C2/m (No. 12)
Unique sites:
1 Cs 0.000 0.000 0.000 [2 per cell]
2 Pr 0.000 0.000 0.500 [2 per cell]
3 Fe 0.116 0.500 0.289 [4 per cell]
4 I 0.019 0.256 0.707 [8 per cell]
5 I 0.191 0.500 0.088 [4 per cell]
6 I 0.245 0.500 0.492 [4 per cell]


CsRbFe2I6 | PBE | relaxed

**Energy relative to the elements, uncorrected**: -0.66 eV per atom
**V**: 50.02 A^3/atom

Cell lengths 16.038, 15.510, 8.253 Å; angles 90.00, 102.94, 90.00 degrees
Space group C2/c (No. 15)
Unique sites:
1 Cs 0.000 0.171 0.250 [4 per cell]
2 Rb 0.000 0.395 0.750 [4 per cell]
3 Fe 0.215 0.082 0.752 [8 per cell]
4 I 0.119 0.407 0.187 [8 per cell]
5 I 0.150 0.232 0.666 [8 per cell]
6 I 0.153 0.033 0.015 [8 per cell]


CsRbFeI4 | PBE | relaxed

**Energy relative to the elements, uncorrected**: -0.94 eV per atom
**V**: 48.52 A^3/atom

Cell lengths 7.958, 8.355, 10.832 Å; angles 90.00, 109.41, 90.00 degrees
Space group P2_1/m (No. 11)
Unique sites:
1 Cs 0.207 0.250 0.418 [2 per cell]
2 Rb 0.290 0.250 0.958 [2 per cell]
3 Fe 0.303 0.750 0.206 [2 per cell]
4 I 0.095 0.750 0.351 [2 per cell]
5 I 0.131 0.750 0.953 [2 per cell]
6 I 0.485 0.501 0.737 [4 per cell]


Cs3RbFe4I12 | PBE | relaxed

**Energy relative to the elements, uncorrected**: -0.60 eV per atom
**V**: 64.50 A^3/atom

Cell lengths 17.0037, 17.0037, 15.4564 Å; angles 90.00, 90.00, 120.00 degrees
Space group R32 (No. 155, hexagonal axes)
Unique sites:
1 Cs 0.0000 0.5178 0.0000 [9 per cell]
2 Rb 0.0000 0.0000 0.0000 [3 per cell]
3 Fe 0.0000 0.0000 0.5000 [3 per cell]
4 Fe 0.0000 0.4638 0.5000 [9 per cell]
5 I 0.0000 0.6126 0.5000 [9 per cell]
6 I 0.0000 0.8506 0.5000 [9 per cell]
7 I 0.0163 0.1993 0.1460 [18 per cell]


CsRb2FeI6 | PBE | relaxed

**Energy relative to the elements, uncorrected**: -0.79 eV per atom
**V**: 48.18 A^3/atom

Cell lengths 12.445, 12.445, 12.445 Å; angles 90.00, 90.00, 90.00 degrees
Space group Fm-3m (No. 225)
Unique sites:
1 Cs 0.000 0.000 0.000 [4 per cell]
2 Rb 0.250 0.250 0.250 [8 per cell]
3 Fe 0.000 0.000 0.500 [4 per cell]
4 I 0.000 0.000 0.287 [24 per cell]


Cs2FeRuI6 | PBE | relaxed

**Energy relative to the elements, uncorrected**: -0.48 eV per atom
**V**: 36.56 A^3/atom

Cell lengths 8.044, 8.044, 11.300 Å; angles 90.00, 90.00, 90.00 degrees
Space group I4/mmm (No. 139)
Unique sites:
1 Cs 0.000 0.500 0.250 [4 per cell]
2 Fe 0.000 0.000 0.000 [2 per cell]
3 Ru 0.000 0.000 0.500 [2 per cell]
4 I 0.000 0.000 0.253 [4 per cell]
5 I 0.245 0.245 0.500 [8 per cell]


Cs2FeSI6 | PBE | relaxed

**Energy relative to the elements, uncorrected**: -0.54 eV per atom
**V**: 41.13 A^3/atom

Cell lengths 8.412, 8.412, 11.625 Å; angles 90.00, 90.00, 90.00 degrees
Space group I4/mmm (No. 139)
Unique sites:
1 Cs 0.000 0.500 0.250 [4 per cell]
2 Fe 0.000 0.000 0.000 [2 per cell]
3 S 0.000 0.000 0.500 [2 per cell]
4 I 0.000 0.000 0.267 [4 per cell]
5 I 0.225 0.225 0.000 [8 per cell]


CsFeSb2I | PBE | relaxed

**Energy relative to the elements, uncorrected**: 0.01 eV per atom
**V**: 33.12 A^3/atom

Cell lengths 4.986, 4.986, 6.660 Å; angles 90.00, 90.00, 90.00 degrees
Space group P4/mmm (No. 123)
Unique sites:
1 Cs 0.000 0.000 0.000 [1 per cell]
2 Fe 0.500 0.500 0.500 [1 per cell]
3 Sb 0.000 0.500 0.500 [2 per cell]
4 I 0.500 0.500 0.000 [1 per cell]


CsFe2SbI8 | PBE | relaxed

**Energy relative to the elements, uncorrected**: -0.40 eV per atom
**V**: 47.03 A^3/atom

Cell lengths 12.189, 8.398, 11.144 Å; angles 90.00, 98.32, 90.00 degrees
Space group C2/m (No. 12)
Unique sites:
1 Cs 0.000 0.000 0.000 [2 per cell]
2 Fe 0.113 0.500 0.292 [4 per cell]
3 Sb 0.000 0.000 0.500 [2 per cell]
4 I 0.023 0.257 0.703 [8 per cell]
5 I 0.187 0.500 0.089 [4 per cell]
6 I 0.249 0.500 0.496 [4 per cell]